# PBE Tc4NiSb, optimized geometry
data_Tc4NiSb
_symmetry_space_group_name_H-M 'F -4 3 m'
_symmetry_Int_Tables_number 216
_symmetry_space_group_name_Hall 'F -4 2 3'
_cell_length_a 7.282
_cell_length_b 7.282
_cell_length_c 7.282
_cell_angle_alpha 90.00
_cell_angle_beta 90.00
_cell_angle_gamma 90.00
loop_
_atom_site_label
_atom_site_type_symbol
_atom_site_fract_x
_atom_site_fract_y
_atom_site_fract_z
Tc1 Tc 0.124 0.124 0.124
Ni1 Ni 0.250 0.250 0.750
Sb1 Sb 0.000 0.000 0.500
# DOS at the Fermi energy: 1.1317 states/eV/atom
# Energy relative to the elements, uncorrected: 53.50 kJ per mole of atoms
# Electronic total energy: -8.007 eV/atom